! Ti2CrIrF (PBE+U, optimized geometry); values from VASP
&SYSTEM
  ibrav = 0, nat = 5, ntyp = 4
/
ATOMIC_SPECIES
Ti 47.87 Ti.upf
Cr 52.00 Cr.upf
Ir 192.22 Ir.upf
F 19.00 F.upf
CELL_PARAMETERS angstrom
4.805 0.000 0.000
0.000 4.805 0.000
0.000 0.000 3.628
ATOMIC_POSITIONS angstrom
Ti 0.000 2.403 0.000
Ti 2.403 0.000 0.000
Cr 0.000 0.000 0.000
Ir 2.403 2.403 1.814
F 0.000 0.000 1.814
! * calculated total energy: -32.58 eV/f.u.
! * magnetization: 1.6 μB per cell